Below is an optimized crystal structure of RbBi4O8, with properties calculated at the PBE level.

POSCAR file:
```
RbBi4O8
1.0
3.5576 2.0540 6.9867
-3.5576 2.0540 6.9867
0.0000 -4.1080 6.9867
Rb Bi O
1 4 8
Direct
0.0000 0.0000 0.0000
0.0000 0.0000 0.5000
0.0000 0.5000 0.0000
0.5000 0.0000 0.0000
0.5000 0.5000 0.5000
0.2000 0.7283 0.7283
0.2170 0.2170 0.2170
0.2717 0.2717 0.8000
0.2717 0.8000 0.2717
0.7283 0.2000 0.7283
0.7283 0.7283 0.2000
0.7830 0.7830 0.7830
0.8000 0.2717 0.2717
```

Values from the calculation:
Density of states at the Fermi level: 6.76 states/eV per cell
V: 23.56 Å³/atom
Space group: R-3m (166)
E_form (uncorrected): -1.009 eV per atom



Below is an optimized crystal structure of Cd9Ag4Au11, with properties calculated at the PBE level.

POSCAR file:
```
Cd9Ag4Au11
1.0
7.9206 -9.3283 0.0000
7.9206 9.3283 0.0000
0.0000 0.0000 3.1162
Cd Ag Au
9 4 11
Direct
0.0000 0.0000 0.0000
0.1163 0.6504 0.0000
0.2940 0.4733 0.0000
0.3496 0.8837 0.0000
0.4733 0.2940 0.0000
0.5267 0.7060 0.0000
0.6504 0.1163 0.0000
0.7060 0.5267 0.0000
0.8837 0.3496 0.0000
0.0688 0.2317 0.0000
0.2317 0.0688 0.0000
0.7683 0.9312 0.0000
0.9312 0.7683 0.0000
0.0898 0.4370 0.5000
0.1344 0.8656 0.5000
0.2693 0.2693 0.5000
0.3203 0.6797 0.5000
0.4370 0.0898 0.5000
0.5000 0.5000 0.5000
0.5630 0.9102 0.5000
0.6797 0.3203 0.5000
0.7307 0.7307 0.5000
0.8656 0.1344 0.5000
0.9102 0.5630 0.5000
```

Values from the calculation:
Density of states at the Fermi level: 5.98 states/eV per cell
V: 19.19 Å³/atom
Space group: Cmmm (65)
Calculated total energy: -2.447 eV per atom



Below is an optimized crystal structure of Ce3SeN3, with properties calculated at the PBE level.

POSCAR file:
```
Ce3SeN3
1.0
3.4148 1.9715 7.1228
-3.4148 1.9715 7.1228
0.0000 -3.9430 7.1228
Ce Se N
6 2 6
Direct
0.0510 0.4013 0.7435
0.2565 0.9490 0.5987
0.4013 0.7435 0.0510
0.5987 0.2565 0.9490
0.7435 0.0510 0.4013
0.9490 0.5987 0.2565
0.1666 0.1666 0.1666
0.8334 0.8334 0.8334
0.0577 0.7000 0.3694
0.3000 0.6306 0.9423
0.3694 0.0577 0.7000
0.6306 0.9423 0.3000
0.7000 0.3694 0.0577
0.9423 0.3000 0.6306
```

Values from the calculation:
Density of states at the Fermi level: 16.61 states/eV per cell
V: 20.55 Å³/atom
Space group: R-3 (148)
E_form (uncorrected): -1.585 eV per atom



Below is an optimized crystal structure of Sm6Dy3Sc, with properties calculated at the PBE level.

POSCAR file:
```
Sm6Dy3Sc
1.0
5.4929 -9.5609 0.0000
5.4929 9.5609 0.0000
0.0000 0.0000 6.2154
Sm Dy Sc
12 6 2
Direct
0.0451 0.9549 0.5000
0.0534 0.4758 0.0674
0.2761 0.7239 0.7737
0.2894 0.3791 0.8803
0.3791 0.2894 0.3803
0.4758 0.0534 0.5674
0.5242 0.9466 0.0674
0.6209 0.7106 0.8803
0.7106 0.6209 0.3803
0.7239 0.2761 0.2737
0.9466 0.5242 0.5674
0.9549 0.0451 0.0000
0.0530 0.2757 0.4618
0.2757 0.0530 0.9618
0.3865 0.6135 0.3525
0.6135 0.3865 0.8525
0.7243 0.9470 0.4618
0.9470 0.7243 0.9618
0.2016 0.7984 0.2993
0.7984 0.2016 0.7993
```

Values from the calculation:
Density of states at the Fermi level: 26.36 states/eV per cell
V: 32.64 Å³/atom
Space group: Cmc2_1 (36)
Calculated total energy: -4.705 eV per atom



Below is an optimized crystal structure of RbHoCdSe3, with properties calculated at the PBE level.

POSCAR file:
```
RbHoCdSe3
1.0
9.2226 0.0000 0.0000
0.0000 4.2709 0.0000
-3.4220 0.0000 9.8172
Rb Ho Cd Se
2 2 2 6
Direct
0.2175 0.2500 0.2382
0.7825 0.7500 0.7618
0.3309 0.7500 0.8668
0.6691 0.2500 0.1332
0.0843 0.2500 0.6119
0.9157 0.7500 0.3881
0.1167 0.2500 0.8711
0.2266 0.7500 0.5492
0.4684 0.7500 0.1503
0.5316 0.2500 0.8497
0.7734 0.2500 0.4508
0.8833 0.7500 0.1289
```

Values from the calculation:
Density of states at the Fermi level: 0.00 states/eV per cell
V: 32.22 Å³/atom
Space group: P2_1/m (11)
E_form (uncorrected): -1.336 eV per atom



Below is an optimized crystal structure of AcCe2Tl2Hg2, with properties calculated at the PBE level.

POSCAR file:
```
AcCe2Tl2Hg2
1.0
2.4956 1.4409 9.5405
-2.4956 1.4409 9.5405
0.0000 -2.8817 9.5405
Ac Ce Tl Hg
1 2 2 2
Direct
0.0000 0.0000 0.0000
0.1452 0.1452 0.1452
0.8548 0.8548 0.8548
0.2669 0.2669 0.2669
0.7331 0.7331 0.7331
0.4350 0.4350 0.4350
0.5650 0.5650 0.5650
```

Values from the calculation:
Density of states at the Fermi level: 12.81 states/eV per cell
V: 29.41 Å³/atom
Space group: R-3m (166)
Calculated total energy: -3.262 eV per atom



Below is an optimized crystal structure of CeNp2FeN4, with properties calculated at the PBE level.

POSCAR file:
```
CeNp2FeN4
1.0
1.7040 -5.6552 0.0000
1.7040 5.6552 0.0000
0.0000 0.0000 11.3161
Ce Np Fe N
2 4 2 8
Direct
0.1043 0.8957 0.7500
0.8957 0.1043 0.2500
0.3694 0.6306 0.5565
0.3694 0.6306 0.9435
0.6306 0.3694 0.0565
0.6306 0.3694 0.4435
0.1578 0.8422 0.2500
0.8422 0.1578 0.7500
0.0000 0.0000 0.0000
0.0000 0.0000 0.5000
0.2679 0.7321 0.1152
0.2679 0.7321 0.3848
0.4476 0.5524 0.7500
0.5524 0.4476 0.2500
0.7321 0.2679 0.6152
0.7321 0.2679 0.8848
```

Values from the calculation:
Density of states at the Fermi level: 19.97 states/eV per cell
V: 13.63 Å³/atom
Space group: Cmcm (63)
E_form (uncorrected): -1.079 eV per atom



Below is an optimized crystal structure of SrHg2Ge, with properties calculated at the PBE level.

POSCAR file:
```
SrHg2Ge
1.0
-2.4015 2.4015 10.3274
2.4015 -2.4015 10.3274
2.4015 2.4015 -10.3274
Sr Hg Ge
2 4 2
Direct
0.0000 0.0000 0.0000
0.7500 0.2500 0.5000
0.1893 0.6250 0.0643
0.3750 0.4393 0.5643
0.5607 0.1250 0.9357
0.8750 0.8107 0.4357
0.2500 0.7500 0.5000
0.5000 0.5000 0.0000
```

Values from the calculation:
Density of states at the Fermi level: 3.77 states/eV per cell
V: 29.78 Å³/atom
Space group: I-42d (122)
Calculated total energy: -1.893 eV per atom



Below is an optimized crystal structure of MnCo2B, with properties calculated at the PBE level.

POSCAR file:
```
MnCo2B
1.0
-3.0702 3.0702 2.1297
3.0702 -3.0702 2.1297
3.0702 3.0702 -2.1297
Mn Co B
2 4 2
Direct
0.0000 0.0000 0.0000
0.7500 0.2500 0.5000
0.2123 0.6250 0.0873
0.3750 0.4623 0.5873
0.5377 0.1250 0.9127
0.8750 0.7877 0.4127
0.2500 0.7500 0.5000
0.5000 0.5000 0.0000
```

Values from the calculation:
Density of states at the Fermi level: 10.54 states/eV per cell
V: 10.04 Å³/atom
Space group: I-42d (122)
Calculated total energy: -7.226 eV per atom



Below is an optimized crystal structure of PmAlSi, with properties calculated at the PBE level.

POSCAR file:
```
PmAlSi
1.0
0.0000 3.8330 8.3058
2.2899 0.0000 8.3058
2.2899 3.8330 0.0000
Pm Al Si
2 2 2
Direct
0.1277 0.1277 0.8723
0.8723 0.8723 0.1277
0.3330 0.6670 0.3330
0.6670 0.3330 0.6670
0.2500 0.2500 0.2500
0.7500 0.7500 0.7500
```

Values from the calculation:
Density of states at the Fermi level: 4.07 states/eV per cell
V: 24.30 Å³/atom
Space group: Fmmm (69)
E_form (uncorrected): -0.242 eV per atom



Below is an optimized crystal structure of Nd2ErZnS5, with properties calculated at the PBE level.

POSCAR file:
```
Nd2ErZnS5
1.0
1.9320 -8.4712 0.0000
1.9320 8.4712 0.0000
0.0000 0.0000 11.9551
Nd Er Zn S
4 2 2 10
Direct
0.1146 0.8854 0.5000
0.1320 0.8680 0.1343
0.8680 0.1320 0.6343
0.8854 0.1146 0.0000
0.1984 0.8016 0.8320
0.8016 0.1984 0.3320
0.4536 0.5464 0.2634
0.5464 0.4536 0.7634
0.0412 0.9588 0.8692
0.2902 0.7098 0.4896
0.3156 0.6844 0.1729
0.3559 0.6441 0.8202
0.4936 0.5064 0.5889
0.5064 0.4936 0.0889
0.6441 0.3559 0.3202
0.6844 0.3156 0.6729
0.7098 0.2902 0.9896
0.9588 0.0412 0.3692
```

Values from the calculation:
Density of states at the Fermi level: 1.61 states/eV per cell
V: 21.74 Å³/atom
Space group: Cmc2_1 (36)
E_form (uncorrected): -1.752 eV per atom



Below is an optimized crystal structure of Cr2InSb, with properties calculated at the PBE level.

POSCAR file:
```
Cr2InSb
1.0
0.0000 3.4261 3.4261
3.4261 0.0000 3.4261
3.4261 3.4261 0.0000
Cr In Sb
2 1 1
Direct
0.0000 0.0000 0.0000
0.2500 0.2500 0.2500
0.7500 0.7500 0.7500
0.5000 0.5000 0.5000
```

Values from the calculation:
Density of states at the Fermi level: 0.54 states/eV per cell
V: 20.11 Å³/atom
Space group: F-43m (216)
E_form (uncorrected): 0.481 eV per atom



Below is an optimized crystal structure of Y3CuPd12, with properties calculated at the PBE level.

POSCAR file:
```
Y3CuPd12
1.0
4.1037 0.0000 0.0000
0.0000 4.1037 0.0000
0.0000 0.0000 16.1564
Y Cu Pd
3 1 12
Direct
0.0000 0.0000 0.0000
0.0000 0.0000 0.2587
0.0000 0.0000 0.7413
0.0000 0.0000 0.5000
0.0000 0.5000 0.1292
0.0000 0.5000 0.3877
0.0000 0.5000 0.6123
0.0000 0.5000 0.8708
0.5000 0.0000 0.1292
0.5000 0.0000 0.3877
0.5000 0.0000 0.6123
0.5000 0.0000 0.8708
0.5000 0.5000 0.0000
0.5000 0.5000 0.2583
0.5000 0.5000 0.5000
0.5000 0.5000 0.7417
```

Values from the calculation:
Density of states at the Fermi level: 14.98 states/eV per cell
V: 17.00 Å³/atom
Space group: P4/mmm (123)
Calculated total energy: -5.992 eV per atom



Below is an optimized crystal structure of Y2Si2Os, with properties calculated at the PBE level.

POSCAR file:
```
Y2Si2Os
1.0
7.7432 0.0000 0.0000
0.0000 7.7432 0.0000
0.0000 0.0000 3.5405
Y Si Os
4 4 2
Direct
0.1420 0.3580 0.0000
0.3580 0.8580 0.0000
0.6420 0.1420 0.0000
0.8580 0.6420 0.0000
0.1704 0.6704 0.5000
0.3296 0.1704 0.5000
0.6704 0.8296 0.5000
0.8296 0.3296 0.5000
0.0000 0.0000 0.0000
0.5000 0.5000 0.0000
```

Values from the calculation:
Density of states at the Fermi level: 4.92 states/eV per cell
V: 21.23 Å³/atom
Space group: P4/mbm (127)
E_form (uncorrected): 0.439 eV per atom



Below is an optimized crystal structure of AsHRh3, with properties calculated at the PBE level.

POSCAR file:
```
AsHRh3
1.0
3.9213 0.0000 0.0000
0.0000 3.9213 0.0000
0.0000 0.0000 3.9213
As H Rh
1 1 3
Direct
0.0000 0.0000 0.0000
0.5000 0.5000 0.5000
0.0000 0.5000 0.5000
0.5000 0.0000 0.5000
0.5000 0.5000 0.0000
```

Values from the calculation:
Density of states at the Fermi level: 2.66 states/eV per cell
V: 12.06 Å³/atom
Space group: Pm-3m (221)
Calculated total energy: -6.146 eV per atom



Below is an optimized crystal structure of GaCuIr2, with properties calculated at the PBE level.

POSCAR file:
```
GaCuIr2
1.0
-1.8879 1.8879 8.7668
1.8879 -1.8879 8.7668
1.8879 1.8879 -8.7668
Ga Cu Ir
2 2 4
Direct
0.0000 0.0000 0.0000
0.7500 0.2500 0.5000
0.2500 0.7500 0.5000
0.5000 0.5000 0.0000
0.1405 0.6250 0.0155
0.3750 0.3905 0.5155
0.6095 0.1250 0.9845
0.8750 0.8595 0.4845
```

Values from the calculation:
Density of states at the Fermi level: 10.92 states/eV per cell
V: 15.62 Å³/atom
Space group: I-42d (122)
Calculated total energy: -5.899 eV per atom



Below is an optimized crystal structure of Ac2As4Ir3Pt, with properties calculated at the PBE level.

POSCAR file:
```
Ac2As4Ir3Pt
1.0
4.5055 0.0000 0.0000
0.0000 4.5055 0.0000
0.0000 0.0000 9.8991
Ac As Ir Pt
2 4 3 1
Direct
0.0000 0.5000 0.2462
0.5000 0.0000 0.7538
0.0000 0.0000 0.0000
0.0000 0.5000 0.6347
0.5000 0.0000 0.3653
0.5000 0.5000 0.0000
0.0000 0.5000 0.8880
0.5000 0.0000 0.1120
0.5000 0.5000 0.5000
0.0000 0.0000 0.5000
```

Values from the calculation:
Density of states at the Fermi level: 7.64 states/eV per cell
V: 20.09 Å³/atom
Space group: P-4m2 (115)
Calculated total energy: -6.724 eV per atom



Below is an optimized crystal structure of Ac7LaPm3, with properties calculated at the PBE level.

POSCAR file:
```
Ac7LaPm3
1.0
6.6599 -6.2524 0.0000
6.6599 6.2524 0.0000
-3.1166 0.0000 5.6581
Ac La Pm
7 1 3
Direct
0.0000 0.0000 0.0000
0.1024 0.5151 0.3085
0.2981 0.2981 0.7997
0.4849 0.8976 0.6915
0.5151 0.1024 0.3085
0.7019 0.7019 0.2003
0.8976 0.4849 0.6915
0.0000 0.0000 0.5000
0.2899 0.7101 0.0000
0.5000 0.5000 0.5000
0.7101 0.2899 0.0000
```

Values from the calculation:
Density of states at the Fermi level: 17.67 states/eV per cell
V: 42.84 Å³/atom
Space group: C2/m (12)
Calculated total energy: -4.125 eV per atom



Below is an optimized crystal structure of Dy3YMg6, with properties calculated at the PBE level.

POSCAR file:
```
Dy3YMg6
1.0
9.2701 0.0000 0.0000
0.0000 5.2659 0.0000
-3.0104 0.0000 10.8280
Dy Y Mg
6 2 12
Direct
0.0416 0.2500 0.3972
0.1480 0.7500 0.2035
0.2498 0.2500 0.0053
0.7502 0.7500 0.9947
0.8520 0.2500 0.7965
0.9584 0.7500 0.6028
0.4485 0.2500 0.6028
0.5515 0.7500 0.3972
0.0584 0.7500 0.8995
0.1602 0.2500 0.7074
0.2566 0.7500 0.5076
0.3544 0.7500 0.8048
0.3552 0.2500 0.3030
0.4529 0.7500 0.0989
0.5471 0.2500 0.9011
0.6448 0.7500 0.6970
0.6456 0.2500 0.1952
0.7434 0.2500 0.4924
0.8398 0.7500 0.2926
0.9416 0.2500 0.1005
```

Values from the calculation:
Density of states at the Fermi level: 20.45 states/eV per cell
V: 26.43 Å³/atom
Space group: P2_1/m (11)
Calculated total energy: -3.054 eV per atom



Below is an optimized crystal structure of Ba2LiIn, with properties calculated at the PBE level.

POSCAR file:
```
Ba2LiIn
1.0
-4.7493 4.7493 3.7060
4.7493 -4.7493 3.7060
4.7493 4.7493 -3.7060
Ba Li In
4 2 2
Direct
0.1177 0.6250 0.9927
0.3750 0.3677 0.4927
0.6323 0.1250 0.0073
0.8750 0.8823 0.5073
0.0000 0.0000 0.0000
0.7500 0.2500 0.5000
0.2500 0.7500 0.5000
0.5000 0.5000 0.0000
```

Values from the calculation:
Density of states at the Fermi level: 11.55 states/eV per cell
V: 41.80 Å³/atom
Space group: I-42d (122)
Calculated total energy: -2.050 eV per atom